VASP calculation (PBE with a Hubbard U) on a relaxed structure of Li2Tl3VF9.

The crystal system is trigonal. The calculation puts the energy at -4.77 eV per atom.

Cell: 6.0024 6.0024 7.5307 Å, 90.00 90.00 120.00°
Closest atoms and distances in Å follow each position.
Fractional coordinates of all 15 atoms:
F 0.8506 0.7011 0.6428  1 V 1.89
F 0.0000 0.5000 0.0000  2 Li 1.93
F 0.8506 0.1494 0.6428  1 V 1.89
F 0.7011 0.8506 0.3572  1 V 1.89
V 0.0000 0.0000 0.5000  6 F 1.89
F 0.5000 0.5000 0.0000  2 Li 1.93
F 0.1494 0.2989 0.3572  1 V 1.89
Tl 0.0000 0.0000 0.0000  12 F 3.00-3.11
F 0.1494 0.8506 0.3572  1 V 1.89
Tl 0.6667 0.3333 0.2938  9 F 2.81-3.04, 1 Li 3.05
Tl 0.3333 0.6667 0.7062  9 F 2.81-3.04, 1 Li 3.05
F 0.5000 0.0000 0.0000  2 Li 1.93
Li 0.3333 0.6667 0.1117  3 F 1.93
Li 0.6667 0.3333 0.8883  3 F 1.93
F 0.2989 0.1494 0.6428  1 V 1.89